(1)
This record from Alexandria describes a geometry-optimized Sc2SiS structure. The functional is PBE.

```
Sc2SiS
1.0
1.745 1.008 8.334
-1.745 1.008 8.334
0.000 -2.015 8.334
Sc Si S
2 1 1
direct
0.106 0.106 0.106 Sc
0.894 0.894 0.894 Sc
0.000 0.000 0.000 Si
0.500 0.500 0.500 S
```

Calculated values
**SG**: R-3m
**Mass density**: 2.83 g/cm³
**Polymorph energy (0 for the lowest one)**: 0.730 eV/atom

---

(2)
This record from Alexandria describes a geometry-optimized Ac8Pb2Au structure. The functional is PBE.

```
Ac8Pb2Au
1.0
10.527 -2.776 0.000
10.527 2.776 0.000
-1.733 0.000 7.410
Ac Pb Au
8 2 1
direct
0.016 0.016 0.276 Ac
0.212 0.212 0.830 Ac
0.349 0.349 0.502 Ac
0.409 0.409 0.030 Ac
0.591 0.591 0.970 Ac
0.651 0.651 0.498 Ac
0.788 0.788 0.170 Ac
0.984 0.984 0.724 Ac
0.184 0.184 0.265 Pb
0.816 0.816 0.735 Pb
0.500 0.500 0.500 Au
```

Calculated values
**SG**: C2/m
**Energy relative to the elements**: -0.302 eV per atom
**Mass density**: 9.31 g/cm³

---

(3)
This record from Alexandria describes a geometry-optimized NpSbPdRh structure. The functional is PBE.

```
NpSbPdRh
1.0
0.000 3.387 3.387
3.387 0.000 3.387
3.387 3.387 0.000
Np Sb Pd Rh
1 1 1 1
direct
0.000 0.000 0.000 Np
0.500 0.500 0.500 Sb
0.750 0.750 0.750 Pd
0.250 0.250 0.250 Rh
```

Calculated values
**SG**: F-43m
**Mass density**: 12.14 g/cm³
**Polymorph energy (0 for the lowest one)**: 0.000 eV/atom